[1]
{
  "formula": "Ce2PmThP4",
  "functional": "GGA-PBE",
  "state": "relaxed",
  "m_tot_mub_per_cell": 1.10,
  "energy_ev_per_fu": -58.0,
  "n_ef_per_ev_cell": 10.4,
  "formation_enthalpy_0k_mev_per_atom": -1544.2,
  "lattice": [[7.123, 0.000, 0.000], [0.000, 4.118, 0.000], [-2.378, 0.000, 6.727]],
  "species": ["Ce", "Ce", "Pm", "Th", "P", "P", "P", "P"],
  "fractional_positions": [[0.000, 0.000, 0.000], [0.500, 0.500, 0.000], [0.000, 0.500, 0.500], [0.500, 0.000, 0.500], [0.250, 0.500, 0.247], [0.252, 0.000, 0.754], [0.748, 0.000, 0.246], [0.750, 0.500, 0.753]]
}

[2]
{
  "formula": "LiSmYZn",
  "functional": "GGA-PBE",
  "state": "relaxed",
  "e_above_lowest_polymorph_mev_per_atom": 4,
  "m_tot_mub_per_cell": 0.00,
  "energy_ev_per_fu": -14.9,
  "n_ef_per_ev_cell": 21.8,
  "formation_enthalpy_0k_mev_per_atom": -124.3,
  "lattice": [[7.303, 0.000, 0.000], [0.000, 7.303, 0.000], [0.000, 0.000, 7.303]],
  "species": ["Li", "Li", "Li", "Li", "Sm", "Sm", "Sm", "Sm", "Y", "Y", "Y", "Y", "Zn", "Zn", "Zn", "Zn"],
  "fractional_positions": [[0.000, 0.000, 0.000], [0.000, 0.500, 0.500], [0.500, 0.000, 0.500], [0.500, 0.500, 0.000], [0.250, 0.250, 0.750], [0.250, 0.750, 0.250], [0.750, 0.250, 0.250], [0.750, 0.750, 0.750], [0.250, 0.250, 0.250], [0.250, 0.750, 0.750], [0.750, 0.250, 0.750], [0.750, 0.750, 0.250], [0.000, 0.000, 0.500], [0.000, 0.500, 0.000], [0.500, 0.000, 0.000], [0.500, 0.500, 0.500]]
}

Please write out number 2 again, unchanged.
{
  "formula": "LiSmYZn",
  "functional": "GGA-PBE",
  "state": "relaxed",
  "e_above_lowest_polymorph_mev_per_atom": 4,
  "m_tot_mub_per_cell": 0.00,
  "energy_ev_per_fu": -14.9,
  "n_ef_per_ev_cell": 21.8,
  "formation_enthalpy_0k_mev_per_atom": -124.3,
  "lattice": [[7.303, 0.000, 0.000], [0.000, 7.303, 0.000], [0.000, 0.000, 7.303]],
  "species": ["Li", "Li", "Li", "Li", "Sm", "Sm", "Sm", "Sm", "Y", "Y", "Y", "Y", "Zn", "Zn", "Zn", "Zn"],
  "fractional_positions": [[0.000, 0.000, 0.000], [0.000, 0.500, 0.500], [0.500, 0.000, 0.500], [0.500, 0.500, 0.000], [0.250, 0.250, 0.750], [0.250, 0.750, 0.250], [0.750, 0.250, 0.250], [0.750, 0.750, 0.750], [0.250, 0.250, 0.250], [0.250, 0.750, 0.750], [0.750, 0.250, 0.750], [0.750, 0.750, 0.250], [0.000, 0.000, 0.500], [0.000, 0.500, 0.000], [0.500, 0.000, 0.000], [0.500, 0.500, 0.500]]
}